Entry 1:
Density functional theory data (PBE) for a relaxed structure of KMgCl2.

## Properties
For the excess energy over the best structure of this formula in the dataset, the calculation gives 234.2 meV per atom. The magnetization is 3.52 μB/cell. The formation energy (no corrections) comes out at -1.147 eV/atom. Its electronic total energy is -2.74 eV/atom.

Cell lengths 7.4875, 7.4875, 7.4875 Å; angles 90.00, 90.00, 90.00 degrees
With the nearest neighbours (Å) after each atom.
Space group Fm-3m (No. 225)
One atom of each set of equivalent atoms:
K1 0.0000 0.0000 0.0000 (multiplicity 4)  8 Cl 3.24
Mg1 0.0000 0.0000 0.5000 (multiplicity 4)  8 Cl 3.24
Cl1 0.2500 0.2500 0.2500 (multiplicity 8)  4 K 3.24, 4 Mg 3.24

Entry 2:
Density functional theory data (PBE) for a relaxed structure of KMgCl2.

## Properties
For the excess energy over the best structure of this formula in the dataset, the calculation gives 151.1 meV per atom. The magnetization is 0.00 μB/cell. The formation energy (no corrections) comes out at -1.230 eV/atom. Its electronic total energy is -2.83 eV/atom.

Cell lengths 4.0888, 8.2372, 8.2817 Å; angles 90.00, 90.00, 90.00 degrees
With the nearest neighbours (Å) after each atom.
Space group Immm (No. 71)
One atom of each set of equivalent atoms:
K1 0.0000 0.0000 0.0000 (multiplicity 2)  4 Cl 3.18
Mg1 0.0000 0.5000 0.0000 (multiplicity 2)  4 Cl 2.65
Cl1 0.0000 0.2042 0.5000 (multiplicity 4)  2 Mg 2.65

Entry 3:
Density functional theory data (PBE) for a relaxed structure of KMgCl2.

## Properties
For the excess energy over the best structure of this formula in the dataset, the calculation gives 125.7 meV per atom. The magnetization is 0.00 μB/cell. The formation energy (no corrections) comes out at -1.256 eV/atom. Its electronic total energy is -2.85 eV/atom.

Cell lengths 7.6590, 4.4625, 7.2547 Å; angles 90.00, 107.44, 90.00 degrees
With the nearest neighbours (Å) after each atom.
Space group C2/m (No. 12)
One atom of each set of equivalent atoms:
K1 0.0000 0.0000 0.0000 (multiplicity 2)  6 Cl 3.21-3.22
Mg1 0.0000 0.5000 0.5000 (multiplicity 2)  6 Cl 2.79-3.08
Cl1 0.2434 0.5000 0.2800 (multiplicity 4)  3 Mg 2.79-3.08

Entry 4:
Density functional theory data (PBE) for a relaxed structure of K2MgCl.

## Properties
For the excess energy over the best structure of this formula in the dataset, the calculation gives 293.6 meV per atom. The magnetization is 0.00 μB/cell. The formation energy (no corrections) comes out at -0.493 eV/atom. Its electronic total energy is -1.90 eV/atom.

Cell lengths 5.6980, 5.6980, 9.7906 Å; angles 90.00, 90.00, 90.00 degrees
With the nearest neighbours (Å) after each atom.
Space group I4/mmm (No. 139)
One atom of each set of equivalent atoms:
K1 0.0000 0.5000 0.2500 (multiplicity 4)  4 Cl 3.76, 4 Mg 3.76, 4 K 4.03
Mg1 0.0000 0.0000 0.0000 (multiplicity 2)  8 K 3.76, 4 Cl 4.03
Cl1 0.0000 0.0000 0.5000 (multiplicity 2)  8 K 3.76, 4 Mg 4.03

Entry 5:
Density functional theory data (PBE) for a relaxed structure of K2MgCl.

## Properties
For the excess energy over the best structure of this formula in the dataset, the calculation gives 299.2 meV per atom. The magnetization is 2.82 μB/cell. The formation energy (no corrections) comes out at -0.487 eV/atom. Its electronic total energy is -1.90 eV/atom.

Cell lengths 8.6185, 8.6185, 8.6185 Å; angles 90.00, 90.00, 90.00 degrees
With the nearest neighbours (Å) after each atom.
Space group Fm-3m (No. 225)
One atom of each set of equivalent atoms:
K1 0.2500 0.2500 0.2500 (multiplicity 8)  4 Cl 3.73, 4 Mg 3.73
Mg1 0.0000 0.0000 0.0000 (multiplicity 4)  8 K 3.73
Cl1 0.0000 0.0000 0.5000 (multiplicity 4)  8 K 3.73

Entry 6:
Density functional theory data (PBE) for a relaxed structure of KMgCl2.

## Properties
For the excess energy over the best structure of this formula in the dataset, the calculation gives 41.9 meV per atom. The magnetization is 0.84 μB/cell. The formation energy (no corrections) comes out at -1.340 eV/atom. Its electronic total energy is -2.94 eV/atom.

Cell lengths 3.8422, 3.8601, 7.2990 Å; angles 90.00, 90.00, 90.00 degrees
With the nearest neighbours (Å) after each atom.
Space group Pmmm (No. 47)
One atom of each set of equivalent atoms:
K1 0.0000 0.0000 0.0000 (multiplicity 1)  8 Cl 3.28
Mg1 0.0000 0.5000 0.5000 (multiplicity 1)  4 Cl 2.65
Cl1 0.5000 0.5000 0.2496 (multiplicity 2)  2 Mg 2.65

Entry 7:
Density functional theory data (PBE) for a relaxed structure of KMgCl.

## Properties
For the excess energy over the best structure of this formula in the dataset, the calculation gives 21.5 meV per atom. The magnetization is 0.00 μB/cell. The formation energy (no corrections) comes out at -0.807 eV/atom. Its electronic total energy is -2.32 eV/atom.

Cell lengths 3.7330, 3.7330, 13.5295 Å; angles 90.00, 90.00, 90.00 degrees
With the nearest neighbours (Å) after each atom.
Space group I4mm (No. 107)
One atom of each set of equivalent atoms:
K1 0.0000 0.0000 0.0000 (multiplicity 2)  4 Cl 3.14
Mg1 0.0000 0.0000 0.2833 (multiplicity 2)  4 Cl 3.39, 4 Mg 3.73
Cl1 0.0000 0.0000 0.6260 (multiplicity 2)  4 K 3.14, 4 Mg 3.39

Entry 8:
Density functional theory data (PBE) for a relaxed structure of K2Mg3Cl8.

## Properties
The magnetization is 0.00 μB/cell. The formation energy (no corrections) comes out at -1.900 eV/atom. Its electronic total energy is -3.57 eV/atom.

Cell lengths 15.1075, 7.6168, 6.5359 Å; angles 90.00, 107.99, 90.00 degrees
With the nearest neighbours (Å) after each atom.
Space group C2/m (No. 12)
One atom of each set of equivalent atoms:
K1 0.2334 0.0000 0.1680 (multiplicity 4)  6 Cl 3.08-3.22
Mg1 0.0000 0.2394 0.5000 (multiplicity 4)  6 Cl 2.49-2.66
Mg2 0.0000 0.5000 0.0000 (multiplicity 2)  6 Cl 2.51-2.56
Cl1 0.0959 0.2723 0.8880 (multiplicity 8)  2 Mg 2.51
Cl2 0.0958 0.5000 0.3990 (multiplicity 4)  3 Mg 2.56-2.66
Cl3 0.1042 0.0000 0.4525 (multiplicity 4)  2 Mg 2.49

Among the records above, which one has the lowest formation energy (no corrections)?
K2Mg3Cl8

What is the electronic total energy in the third record?
-2.85 eV/atom

Which formula does entry 1 have?
KMgCl2

Look up the formation energy (no corrections) of the eighth one.
-1.900 eV/atom